(1)
First-principles (PBE-GGA) data for a geometry-optimized LaCoAgH6 structure, as listed in Alexandria.

Cell: 4.694 4.694 4.352 Å, 90.00 90.00 120.00°
Atoms (fractional coordinates):
La (0.000, 0.000, 0.000)
Co (0.667, 0.333, 0.500)
Ag (0.333, 0.667, 0.500)
H (0.527, 0.053, 0.243)
H (0.527, 0.053, 0.757)
H (0.527, 0.473, 0.243)
H (0.527, 0.473, 0.757)
H (0.947, 0.473, 0.243)
H (0.947, 0.473, 0.757)

Mass density (kg/m3): 6235
M_tot (μB per formula unit): 0.00
DFT total energy (eV/f.u.): -37.2
Symmetry: P-6m2

(2)
First-principles (PBE-GGA) data for a geometry-optimized AcTbInAg structure, as listed in Alexandria.

Cell: 3.800 3.800 8.051 Å, 90.00 90.00 90.00°
Atoms (fractional coordinates):
Ac (0.000, 0.000, 0.000)
Tb (0.000, 0.000, 0.478)
In (0.500, 0.500, 0.714)
Ag (0.500, 0.500, 0.282)

Distance to the lowest polymorph of the same formula (meV/atom): 0
Mass density (kg/m3): 8693
M_tot (μB per formula unit): 0.00
Symmetry: P4mm

(3)
First-principles (PBE-GGA) data for a geometry-optimized Tl6Hg2Se3 structure, as listed in Alexandria.

Cell: 7.921 7.921 7.850 Å, 99.90 99.90 120.19°
Atoms (fractional coordinates):
Tl (0.091, 0.419, 0.779)
Tl (0.233, 0.233, 0.211)
Tl (0.419, 0.091, 0.779)
Tl (0.581, 0.909, 0.221)
Tl (0.767, 0.767, 0.789)
Tl (0.909, 0.581, 0.221)
Hg (0.336, 0.664, 0.500)
Hg (0.664, 0.336, 0.500)
Se (0.175, 0.825, 0.000)
Se (0.500, 0.500, 0.000)
Se (0.825, 0.175, 0.000)

Mass density (kg/m3): 7748
M_tot (μB per formula unit): 0.00
Raw formation energy (eV per atom): -0.288
Symmetry: C2/m

(4)
First-principles (PBE-GGA) data for a geometry-optimized LaYZr2 structure, as listed in Alexandria.

Cell: 5.862 5.862 5.976 Å, 98.14 98.14 33.29°
Atoms (fractional coordinates):
La (0.000, 0.000, 0.000)
Y (0.500, 0.500, 0.500)
Zr (0.248, 0.248, 0.728)
Zr (0.752, 0.752, 0.272)

Distance to the lowest polymorph of the same formula (meV/atom): 68
Mass density (kg/m3): 6111
M_tot (μB per formula unit): 0.00
Symmetry: C2/m

(5)
First-principles (PBE-GGA) data for a geometry-optimized ZnWS2N structure, as listed in Alexandria.

Cell: 4.821 4.821 3.816 Å, 90.00 90.00 90.00°
Atoms (fractional coordinates):
Zn (0.000, 0.000, 0.000)
W (0.500, 0.500, 0.500)
S (0.000, 0.500, 0.500)
S (0.500, 0.000, 0.500)
N (0.500, 0.500, 0.000)

Distance to the lowest polymorph of the same formula (meV/atom): 0
Mass density (kg/m3): 6128
M_tot (μB per formula unit): 0.00
Raw formation energy (eV per atom): 0.151
Symmetry: P4/mmm

(6)
First-principles (PBE-GGA) data for a geometry-optimized TbHo2Sc3 structure, as listed in Alexandria.

Cell: 5.947 3.432 16.510 Å, 90.00 96.92 90.00°
Atoms (fractional coordinates):
Tb (0.028, 0.250, 0.333)
Tb (0.972, 0.750, 0.667)
Ho (0.250, 0.250, 0.000)
Ho (0.473, 0.250, 0.667)
Ho (0.527, 0.750, 0.333)
Ho (0.750, 0.750, 0.000)
Sc (0.139, 0.750, 0.167)
Sc (0.251, 0.750, 0.500)
Sc (0.361, 0.750, 0.833)
Sc (0.639, 0.250, 0.167)
Sc (0.749, 0.250, 0.500)
Sc (0.861, 0.250, 0.833)

Mass density (kg/m3): 6193
M_tot (μB per formula unit): 0.00
DFT total energy (eV/f.u.): -32.4
Symmetry: P2_1/m

(7)
First-principles (PBE-GGA) data for a geometry-optimized HfReOs2 structure, as listed in Alexandria.

Cell: 4.489 4.489 4.489 Å, 60.00 60.00 60.00°
Atoms (fractional coordinates):
Hf (0.000, 0.000, 0.000)
Re (0.500, 0.500, 0.500)
Os (0.250, 0.250, 0.250)
Os (0.750, 0.750, 0.750)

Distance to the lowest polymorph of the same formula (meV/atom): 0
Mass density (kg/m3): 19340
M_tot (μB per formula unit): 0.00
Symmetry: Fm-3m

(8)
First-principles (PBE-GGA) data for a geometry-optimized Ho5Er12Th structure, as listed in Alexandria.

Cell: 10.552 10.552 4.978 Å, 90.00 90.00 90.13°
Atoms (fractional coordinates):
Ho (0.000, 0.000, 0.000)
Ho (0.166, 0.834, 0.500)
Ho (0.335, 0.665, 0.000)
Ho (0.665, 0.335, 0.000)
Ho (0.834, 0.166, 0.500)
Er (0.000, 0.332, 0.000)
Er (0.000, 0.668, 0.000)
Er (0.166, 0.166, 0.500)
Er (0.167, 0.500, 0.500)
Er (0.332, 0.000, 0.000)
Er (0.335, 0.335, 0.000)
Er (0.500, 0.167, 0.500)
Er (0.500, 0.833, 0.500)
Er (0.665, 0.665, 0.000)
Er (0.668, 0.000, 0.000)
Er (0.833, 0.500, 0.500)
Er (0.834, 0.834, 0.500)
Th (0.500, 0.500, 0.500)

Mass density (kg/m3): 9178
M_tot (μB per formula unit): 0.00
DFT total energy (eV/f.u.): -84.6
Symmetry: Cmmm